{
  "formula": "Mo2IrPt",
  "functional": "PBE-GGA",
  "state": "relaxed",
  "lattice": [[4.608, -1.380, 0.000], [4.608, 1.380, 0.000], [-0.822, 0.000, 4.832]],
  "species": ["Mo", "Mo", "Ir", "Pt"],
  "frac_coords": [[0.000, 0.000, 0.000], [0.248, 0.248, 0.711], [0.504, 0.504, 0.505], [0.749, 0.749, 0.220]],
  "final_energy_ev_per_cell": -37.37,
  "formation_enthalpy_0k_mev_per_atom": -202,
  "polymorph_energy_ev_per_atom": 0.143,
  "vol_a3_per_cell": 61.48
}



{
  "formula": "Mo2IrPt",
  "functional": "PBE-GGA",
  "state": "relaxed",
  "lattice": [[-1.944, 1.944, 4.025], [1.944, -1.944, 4.025], [1.944, 1.944, -4.025]],
  "species": ["Mo", "Mo", "Ir", "Pt"],
  "frac_coords": [[0.250, 0.750, 0.500], [0.750, 0.250, 0.500], [0.000, 0.000, 0.000], [0.500, 0.500, 0.000]],
  "final_energy_ev_per_cell": -37.71,
  "formation_enthalpy_0k_mev_per_atom": -286,
  "polymorph_energy_ev_per_atom": 0.060,
  "vol_a3_per_cell": 60.88
}



{
  "formula": "Mo2IrPt",
  "functional": "PBE-GGA",
  "state": "relaxed",
  "lattice": [[-3.556, 3.556, 2.691], [3.556, -3.556, 2.691], [3.556, 3.556, -2.691]],
  "species": ["Mo", "Mo", "Mo", "Mo", "Ir", "Ir", "Pt", "Pt"],
  "frac_coords": [[0.102, 0.125, 0.477], [0.375, 0.898, 0.023], [0.648, 0.625, 0.523], [0.875, 0.352, 0.977], [0.000, 0.000, 0.000], [0.750, 0.250, 0.500], [0.250, 0.750, 0.500], [0.500, 0.500, 0.000]],
  "final_energy_ev_per_cell": -70.00,
  "formation_enthalpy_0k_mev_per_atom": 391,
  "polymorph_energy_ev_per_atom": 0.737,
  "vol_a3_per_cell": 136.15
}



{
  "formula": "MoIrPtRh",
  "functional": "PBE-GGA",
  "state": "relaxed",
  "lattice": [[0.000, 3.126, 3.126], [3.126, 0.000, 3.126], [3.126, 3.126, 0.000]],
  "species": ["Mo", "Ir", "Pt", "Rh"],
  "frac_coords": [[0.000, 0.000, 0.000], [0.250, 0.250, 0.250], [0.500, 0.500, 0.500], [0.750, 0.750, 0.750]],
  "final_energy_ev_per_cell": -32.75,
  "formation_enthalpy_0k_mev_per_atom": 84,
  "vol_a3_per_cell": 61.08
}



{
  "formula": "Mo2IrPtS",
  "functional": "PBE-GGA",
  "state": "relaxed",
  "lattice": [[4.379, 0.000, 0.000], [0.000, 4.379, 0.000], [0.000, 0.000, 4.351]],
  "species": ["Mo", "Mo", "Ir", "Pt", "S"],
  "frac_coords": [[0.000, 0.500, 0.000], [0.500, 0.000, 0.000], [0.000, 0.000, 0.500], [0.500, 0.500, 0.500], [0.000, 0.000, 0.000]],
  "final_energy_ev_per_cell": -38.22,
  "e_form_raw_ev_per_fu": 2.5,
  "vol_a3_per_cell": 83.43
}



{
  "formula": "Sb2MoIrPt",
  "functional": "PBE-GGA",
  "state": "relaxed",
  "lattice": [[5.049, 0.000, 0.000], [0.000, 5.049, 0.000], [0.000, 0.000, 4.969]],
  "species": ["Sb", "Sb", "Mo", "Ir", "Pt"],
  "frac_coords": [[0.000, 0.500, 0.000], [0.500, 0.000, 0.000], [0.000, 0.000, 0.500], [0.500, 0.500, 0.500], [0.000, 0.000, 0.000]],
  "final_energy_ev_per_cell": -26.57,
  "e_form_raw_ev_per_fu": 7.4,
  "vol_a3_per_cell": 126.67
}



{
  "formula": "ScMo2IrPt",
  "functional": "PBE-GGA",
  "state": "relaxed",
  "lattice": [[4.551, 0.000, 0.000], [0.000, 4.551, 0.000], [0.000, 0.000, 4.578]],
  "species": ["Sc", "Mo", "Mo", "Ir", "Pt"],
  "frac_coords": [[0.000, 0.000, 0.000], [0.000, 0.500, 0.000], [0.500, 0.000, 0.000], [0.000, 0.000, 0.500], [0.500, 0.500, 0.500]],
  "final_energy_ev_per_cell": -34.21,
  "formation_enthalpy_0k_mev_per_atom": 1737,
  "vol_a3_per_cell": 94.83
}



{
  "formula": "TaMoIrPt",
  "functional": "PBE-GGA",
  "state": "relaxed",
  "lattice": [[3.948, 0.000, 0.000], [0.000, 3.960, 0.000], [0.000, 0.000, 4.013]],
  "species": ["Ta", "Mo", "Ir", "Pt"],
  "frac_coords": [[0.000, 0.000, 0.000], [0.500, 0.500, 0.000], [0.500, 0.000, 0.500], [0.000, 0.500, 0.500]],
  "final_energy_ev_per_cell": -39.69,
  "formation_enthalpy_0k_mev_per_atom": -525,
  "vol_a3_per_cell": 62.74
}



{
  "formula": "TiMoIrPt2",
  "functional": "PBE-GGA",
  "state": "relaxed",
  "lattice": [[4.659, 0.000, 0.000], [0.000, 4.659, 0.000], [0.000, 0.000, 4.521]],
  "species": ["Ti", "Mo", "Ir", "Pt", "Pt"],
  "frac_coords": [[0.000, 0.000, 0.000], [0.500, 0.500, 0.500], [0.000, 0.000, 0.500], [0.000, 0.500, 0.000], [0.500, 0.000, 0.000]],
  "final_energy_ev_per_cell": -34.78,
  "formation_enthalpy_0k_mev_per_atom": 978,
  "vol_a3_per_cell": 98.12
}



{
  "formula": "VMoIrPt",
  "functional": "PBE-GGA",
  "state": "relaxed",
  "lattice": [[3.854, 0.000, 0.000], [0.000, 3.885, 0.000], [0.000, 0.000, 3.916]],
  "species": ["V", "Mo", "Ir", "Pt"],
  "frac_coords": [[0.000, 0.000, 0.000], [0.500, 0.500, 0.000], [0.000, 0.500, 0.500], [0.500, 0.000, 0.500]],
  "final_energy_ev_per_cell": -36.57,
  "formation_enthalpy_0k_mev_per_atom": -429,
  "vol_a3_per_cell": 58.64
}



{
  "formula": "VMo2IrPt",
  "functional": "PBE-GGA",
  "state": "relaxed",
  "lattice": [[4.384, 0.000, 0.000], [0.000, 4.384, 0.000], [0.000, 0.000, 4.598]],
  "species": ["V", "Mo", "Mo", "Ir", "Pt"],
  "frac_coords": [[0.000, 0.000, 0.000], [0.000, 0.500, 0.000], [0.500, 0.000, 0.000], [0.500, 0.500, 0.500], [0.000, 0.000, 0.500]],
  "final_energy_ev_per_cell": -39.28,
  "formation_enthalpy_0k_mev_per_atom": 1280,
  "vol_a3_per_cell": 88.38
}



{
  "formula": "MoIrPtW",
  "functional": "PBE-GGA",
  "state": "relaxed",
  "lattice": [[3.876, 0.000, 0.000], [0.000, 3.893, 0.000], [0.000, 0.000, 4.050]],
  "species": ["Mo", "Ir", "Pt", "W"],
  "frac_coords": [[0.000, 0.000, 0.000], [0.000, 0.500, 0.500], [0.500, 0.000, 0.500], [0.500, 0.500, 0.000]],
  "final_energy_ev_per_cell": -39.78,
  "formation_enthalpy_0k_mev_per_atom": -275,
  "vol_a3_per_cell": 61.10
}



Copy entry 2 word for word.
{
  "formula": "Mo2IrPt",
  "functional": "PBE-GGA",
  "state": "relaxed",
  "lattice": [[-1.944, 1.944, 4.025], [1.944, -1.944, 4.025], [1.944, 1.944, -4.025]],
  "species": ["Mo", "Mo", "Ir", "Pt"],
  "frac_coords": [[0.250, 0.750, 0.500], [0.750, 0.250, 0.500], [0.000, 0.000, 0.000], [0.500, 0.500, 0.000]],
  "final_energy_ev_per_cell": -37.71,
  "formation_enthalpy_0k_mev_per_atom": -286,
  "polymorph_energy_ev_per_atom": 0.060,
  "vol_a3_per_cell": 60.88
}